# 1
A relaxed Tb5SmMg6 crystal. Source: Alexandria via LeMat-Bulk, functional GGA-PBE.

```
data_Tb5SmMg6
_chemical_formula_sum 'Tb5 Sm1 Mg6'
_symmetry_space_group_name_H-M 'P 1'
_symmetry_Int_Tables_number 1
_cell_length_a 5.390
_cell_length_b 7.593
_cell_length_c 8.520
_cell_angle_alpha 90.00
_cell_angle_beta 71.59
_cell_angle_gamma 89.99
loop_
_symmetry_equiv_pos_as_xyz
'x,y,z'
loop_
_atom_site_label
_atom_site_type_symbol
_atom_site_fract_x
_atom_site_fract_y
_atom_site_fract_z
Mg1 Mg 0.833 0.251 0.335
Mg2 Mg 0.500 0.749 0.000
Mg3 Mg 0.167 0.251 0.665
Mg4 Mg 0.167 0.749 0.665
Mg5 Mg 0.833 0.749 0.335
Mg6 Mg 0.500 0.251 0.000
Tb1 Tb 0.666 0.500 0.668
Tb2 Tb 0.334 0.500 0.332
Tb3 Tb 0.333 0.000 0.335
Tb4 Tb 0.667 0.000 0.665
Tb5 Tb 0.000 0.500 0.000
Sm1 Sm 0.000 0.000 0.000
```

Summary:
Energy relative to the elements = -0.089 eV/atom
Theoretical density = 5.5 g/cm3
Size of the total moment = 0.00 μB/cell
Calculated total energy = -3.209 eV per atom

---

# 2
A relaxed Tb4Sm5Mg crystal. Source: Alexandria via LeMat-Bulk, functional GGA-PBE.

```
data_Tb4Sm5Mg
_chemical_formula_sum 'Tb4 Sm5 Mg1'
_symmetry_space_group_name_H-M 'P 1'
_symmetry_Int_Tables_number 1
_cell_length_a 4.138
_cell_length_b 4.138
_cell_length_c 18.834
_cell_angle_alpha 90.00
_cell_angle_beta 90.00
_cell_angle_gamma 90.00
loop_
_symmetry_equiv_pos_as_xyz
'x,y,z'
loop_
_atom_site_label
_atom_site_type_symbol
_atom_site_fract_x
_atom_site_fract_y
_atom_site_fract_z
Mg1 Mg 0.000 0.000 0.000
Tb1 Tb 0.000 0.000 0.400
Tb2 Tb 0.000 0.000 0.797
Tb3 Tb 0.000 0.000 0.600
Tb4 Tb 0.000 0.000 0.203
Sm1 Sm 0.500 0.500 0.904
Sm2 Sm 0.500 0.500 0.302
Sm3 Sm 0.500 0.500 0.500
Sm4 Sm 0.500 0.500 0.096
Sm5 Sm 0.500 0.500 0.698
```

Summary:
Energy relative to the elements = 0.089 eV/atom
E above lowest polymorph = 0.000 eV/atom
Theoretical density = 7.3 g/cm3
Size of the total moment = 0.00 μB/cell
Calculated total energy = -4.282 eV per atom

---

# 3
A relaxed Tb2SmMg crystal. Source: Alexandria via LeMat-Bulk, functional GGA-PBE.

```
data_Tb2SmMg
_chemical_formula_sum 'Tb2 Sm1 Mg1'
_symmetry_space_group_name_H-M 'P 1'
_symmetry_Int_Tables_number 1
_cell_length_a 3.468
_cell_length_b 3.468
_cell_length_c 12.506
_cell_angle_alpha 82.03
_cell_angle_beta 82.03
_cell_angle_gamma 60.00
loop_
_symmetry_equiv_pos_as_xyz
'x,y,z'
loop_
_atom_site_label
_atom_site_type_symbol
_atom_site_fract_x
_atom_site_fract_y
_atom_site_fract_z
Tb1 Tb 0.089 0.089 0.734
Tb2 Tb 0.911 0.911 0.266
Sm1 Sm 0.500 0.500 0.500
Mg1 Mg 0.000 0.000 0.000
```

Summary:
Energy relative to the elements = 0.205 eV/atom
E above lowest polymorph = 0.237 eV/atom
Theoretical density = 6.4 g/cm3
Size of the total moment = 0.00 μB/cell
Calculated total energy = -3.689 eV per atom

---

# 4
A relaxed Tb4Sm2Mg crystal. Source: Alexandria via LeMat-Bulk, functional GGA-PBE.

```
data_Tb4Sm2Mg
_chemical_formula_sum 'Tb8 Sm4 Mg2'
_symmetry_space_group_name_H-M 'P 1'
_symmetry_Int_Tables_number 1
_cell_length_a 6.047
_cell_length_b 6.566
_cell_length_c 11.529
_cell_angle_alpha 90.00
_cell_angle_beta 105.10
_cell_angle_gamma 90.00
loop_
_symmetry_equiv_pos_as_xyz
'x,y,z'
loop_
_atom_site_label
_atom_site_type_symbol
_atom_site_fract_x
_atom_site_fract_y
_atom_site_fract_z
Sm1 Sm 0.397 0.250 0.996
Sm2 Sm 0.718 0.750 0.576
Sm3 Sm 0.603 0.750 0.004
Sm4 Sm 0.282 0.250 0.424
Tb1 Tb 0.644 0.500 0.286
Tb2 Tb 0.854 0.250 0.559
Tb3 Tb 0.025 0.750 0.876
Tb4 Tb 0.356 0.000 0.714
Tb5 Tb 0.146 0.750 0.441
Tb6 Tb 0.644 0.000 0.286
Tb7 Tb 0.356 0.500 0.714
Tb8 Tb 0.975 0.250 0.124
Mg1 Mg 0.846 0.250 0.833
Mg2 Mg 0.154 0.750 0.167
```

Summary:
Energy relative to the elements = 0.094 eV/atom
E above lowest polymorph = 0.043 eV/atom
Theoretical density = 7.2 g/cm3
Size of the total moment = 0.00 μB/cell
Calculated total energy = -4.128 eV per atom

---

# 5
A relaxed TbSmMg crystal. Source: Alexandria via LeMat-Bulk, functional GGA-PBE.

```
data_TbSmMg
_chemical_formula_sum 'Tb2 Sm2 Mg2'
_symmetry_space_group_name_H-M 'P 1'
_symmetry_Int_Tables_number 1
_cell_length_a 5.509
_cell_length_b 3.769
_cell_length_c 10.299
_cell_angle_alpha 56.69
_cell_angle_beta 89.25
_cell_angle_gamma 90.02
loop_
_symmetry_equiv_pos_as_xyz
'x,y,z'
loop_
_atom_site_label
_atom_site_type_symbol
_atom_site_fract_x
_atom_site_fract_y
_atom_site_fract_z
Mg1 Mg 0.966 0.842 0.031
Mg2 Mg 0.487 0.442 0.297
Tb1 Tb 0.987 0.873 0.344
Tb2 Tb 0.467 0.411 0.985
Sm1 Sm 0.976 0.823 0.710
Sm2 Sm 0.479 0.461 0.618
```

Summary:
Energy relative to the elements = -0.057 eV/atom
E above lowest polymorph = 0.000 eV/atom
Theoretical density = 6.2 g/cm3
Size of the total moment = 0.00 μB/cell
Calculated total energy = -3.705 eV per atom

---

# 6
A relaxed Tb14SmMg crystal. Source: Alexandria via LeMat-Bulk, functional GGA-PBE.

```
data_Tb14SmMg
_chemical_formula_sum 'Tb14 Sm1 Mg1'
_symmetry_space_group_name_H-M 'P 1'
_symmetry_Int_Tables_number 1
_cell_length_a 7.083
_cell_length_b 7.083
_cell_length_c 10.042
_cell_angle_alpha 90.00
_cell_angle_beta 90.00
_cell_angle_gamma 90.00
loop_
_symmetry_equiv_pos_as_xyz
'x,y,z'
loop_
_atom_site_label
_atom_site_type_symbol
_atom_site_fract_x
_atom_site_fract_y
_atom_site_fract_z
Tb1 Tb 0.376 0.624 0.251
Tb2 Tb 0.874 0.624 0.251
Tb3 Tb 0.625 0.875 0.500
Tb4 Tb 0.125 0.875 0.000
Tb5 Tb 0.125 0.375 0.500
Tb6 Tb 0.874 0.624 0.749
Tb7 Tb 0.625 0.875 0.000
Tb8 Tb 0.625 0.375 0.000
Tb9 Tb 0.874 0.126 0.250
Tb10 Tb 0.874 0.126 0.750
Tb11 Tb 0.376 0.624 0.749
Tb12 Tb 0.376 0.126 0.749
Tb13 Tb 0.125 0.375 0.000
Tb14 Tb 0.376 0.126 0.251
Sm1 Sm 0.625 0.375 0.500
Mg1 Mg 0.126 0.874 0.500
```

Summary:
Energy relative to the elements = 0.016 eV/atom
Theoretical density = 7.9 g/cm3
Size of the total moment = 0.00 μB/cell
Calculated total energy = -4.430 eV per atom

---

# 7
A relaxed Tb2Sm3Mg3 crystal. Source: Alexandria via LeMat-Bulk, functional GGA-PBE.

```
data_Tb2Sm3Mg3
_chemical_formula_sum 'Tb2 Sm3 Mg3'
_symmetry_space_group_name_H-M 'P 1'
_symmetry_Int_Tables_number 1
_cell_length_a 3.806
_cell_length_b 5.505
_cell_length_c 11.758
_cell_angle_alpha 103.54
_cell_angle_beta 99.31
_cell_angle_gamma 90.00
loop_
_symmetry_equiv_pos_as_xyz
'x,y,z'
loop_
_atom_site_label
_atom_site_type_symbol
_atom_site_fract_x
_atom_site_fract_y
_atom_site_fract_z
Mg1 Mg 0.118 0.118 0.236
Mg2 Mg 0.882 0.882 0.764
Mg3 Mg 0.000 0.500 0.000
Sm1 Sm 0.500 0.000 0.000
Sm2 Sm 0.625 0.625 0.250
Sm3 Sm 0.375 0.375 0.750
Tb1 Tb 0.264 0.764 0.529
Tb2 Tb 0.736 0.236 0.471
```

Summary:
Energy relative to the elements = -0.066 eV/atom
Theoretical density = 5.9 g/cm3
Size of the total moment = 0.00 μB/cell
Calculated total energy = -3.592 eV per atom

---

# 8
A relaxed TbSm6Mg2 crystal. Source: Alexandria via LeMat-Bulk, functional GGA-PBE.

```
data_TbSm6Mg2
_chemical_formula_sum 'Tb1 Sm6 Mg2'
_symmetry_space_group_name_H-M 'P 1'
_symmetry_Int_Tables_number 1
_cell_length_a 6.111
_cell_length_b 6.094
_cell_length_c 8.748
_cell_angle_alpha 90.00
_cell_angle_beta 90.00
_cell_angle_gamma 120.09
loop_
_symmetry_equiv_pos_as_xyz
'x,y,z'
loop_
_atom_site_label
_atom_site_type_symbol
_atom_site_fract_x
_atom_site_fract_y
_atom_site_fract_z
Mg1 Mg 0.500 0.500 0.329
Mg2 Mg 0.000 0.500 0.671
Sm1 Sm 0.341 0.170 0.663
Sm2 Sm 0.829 0.170 0.337
Sm3 Sm 0.659 0.830 0.663
Sm4 Sm 0.171 0.830 0.337
Sm5 Sm 0.173 0.346 0.000
Sm6 Sm 0.827 0.654 0.000
Tb1 Tb 0.500 0.000 0.000
```

Summary:
Energy relative to the elements = 0.073 eV/atom
E above lowest polymorph = 0.000 eV/atom
Theoretical density = 6.5 g/cm3
Size of the total moment = 0.00 μB/cell
Calculated total energy = -3.942 eV per atom

---

# 9
A relaxed Tb4Sm3Mg crystal. Source: Alexandria via LeMat-Bulk, functional GGA-PBE.

```
data_Tb4Sm3Mg
_chemical_formula_sum 'Tb8 Sm6 Mg2'
_symmetry_space_group_name_H-M 'P 1'
_symmetry_Int_Tables_number 1
_cell_length_a 6.259
_cell_length_b 7.164
_cell_length_c 11.350
_cell_angle_alpha 90.00
_cell_angle_beta 90.00
_cell_angle_gamma 90.00
loop_
_symmetry_equiv_pos_as_xyz
'x,y,z'
loop_
_atom_site_label
_atom_site_type_symbol
_atom_site_fract_x
_atom_site_fract_y
_atom_site_fract_z
Tb1 Tb 0.360 0.374 0.000
Tb2 Tb 0.518 0.627 0.256
Tb3 Tb 0.860 0.626 0.500
Tb4 Tb 0.867 0.128 0.500
Tb5 Tb 0.018 0.373 0.244
Tb6 Tb 0.018 0.373 0.756
Tb7 Tb 0.518 0.627 0.744
Tb8 Tb 0.367 0.872 0.000
Sm1 Sm 0.027 0.879 0.244
Sm2 Sm 0.527 0.121 0.744
Sm3 Sm 0.027 0.879 0.756
Sm4 Sm 0.840 0.621 0.000
Sm5 Sm 0.340 0.379 0.500
Sm6 Sm 0.527 0.121 0.256
Mg1 Mg 0.357 0.876 0.500
Mg2 Mg 0.857 0.124 0.000
```

Summary:
Energy relative to the elements = 0.008 eV/atom
E above lowest polymorph = 0.000 eV/atom
Theoretical density = 7.3 g/cm3
Size of the total moment = 0.00 μB/cell
Calculated total energy = -4.276 eV per atom

---

# 10
A relaxed Tb3Sm12Mg crystal. Source: Alexandria via LeMat-Bulk, functional GGA-PBE.

```
data_Tb3Sm12Mg
_chemical_formula_sum 'Tb3 Sm12 Mg1'
_symmetry_space_group_name_H-M 'P 1'
_symmetry_Int_Tables_number 1
_cell_length_a 5.075
_cell_length_b 5.075
_cell_length_c 20.375
_cell_angle_alpha 90.00
_cell_angle_beta 90.00
_cell_angle_gamma 90.00
loop_
_symmetry_equiv_pos_as_xyz
'x,y,z'
loop_
_atom_site_label
_atom_site_type_symbol
_atom_site_fract_x
_atom_site_fract_y
_atom_site_fract_z
Sm1 Sm 0.500 0.000 0.123
Sm2 Sm 0.500 0.000 0.374
Sm3 Sm 0.500 0.500 0.000
Sm4 Sm 0.000 0.500 0.877
Sm5 Sm 0.500 0.500 0.246
Sm6 Sm 0.500 0.000 0.626
Sm7 Sm 0.000 0.500 0.123
Sm8 Sm 0.000 0.500 0.626
Sm9 Sm 0.000 0.500 0.374
Sm10 Sm 0.500 0.500 0.754
Sm11 Sm 0.500 0.500 0.500
Sm12 Sm 0.500 0.000 0.877
Tb1 Tb 0.000 0.000 0.248
Tb2 Tb 0.000 0.000 0.752
Tb3 Tb 0.000 0.000 0.500
Mg1 Mg 0.000 0.000 0.000
```

Summary:
Energy relative to the elements = 0.015 eV/atom
Theoretical density = 7.3 g/cm3
Size of the total moment = 0.00 μB/cell
Calculated total energy = -4.492 eV per atom

---

# 11
A relaxed Tb2Sm3Mg2 crystal. Source: Alexandria via LeMat-Bulk, functional GGA-PBE.

```
data_Tb2Sm3Mg2
_chemical_formula_sum 'Tb2 Sm3 Mg2'
_symmetry_space_group_name_H-M 'P 1'
_symmetry_Int_Tables_number 1
_cell_length_a 3.783
_cell_length_b 3.680
_cell_length_c 15.649
_cell_angle_alpha 90.00
_cell_angle_beta 96.94
_cell_angle_gamma 90.00
loop_
_symmetry_equiv_pos_as_xyz
'x,y,z'
loop_
_atom_site_label
_atom_site_type_symbol
_atom_site_fract_x
_atom_site_fract_y
_atom_site_fract_z
Mg1 Mg 0.856 0.000 0.713
Mg2 Mg 0.144 0.000 0.287
Sm1 Sm 0.581 0.500 0.161
Sm2 Sm 0.000 0.000 0.000
Sm3 Sm 0.419 0.500 0.839
Tb1 Tb 0.295 0.500 0.591
Tb2 Tb 0.705 0.500 0.409
```

Summary:
Energy relative to the elements = 0.048 eV/atom
Theoretical density = 6.3 g/cm3
Size of the total moment = 0.00 μB/cell
Calculated total energy = -3.753 eV per atom

---

Q: Which value of size of the total moment does entry 8 give?
A: 0.00 μB/cell

---

Q: What is the formula in the second record?
A: Tb4Sm5Mg

---

Q: calculated total energy of number 7 (Tb2Sm3Mg3)?
A: -3.592 eV per atom